[1]
! BBrO3 PBE relaxed; values from VASP
! Raw formation energy ... 1.380 eV per atom
! Electronic total energy ... -3.265 eV/atom
! Total magnetic moment ... 0.00 μB/f.u.
! Space-group type ... Pm-3m (221)
&SYSTEM
  ibrav = 0, nat = 5, ntyp = 3
/
ATOMIC_SPECIES
B 10.81 B.upf
Br 79.90 Br.upf
O 16.00 O.upf
ATOMIC_POSITIONS angstrom
B 0.0000 0.0000 0.0000
Br 1.9360 1.9360 1.9360
O 0.0000 1.9360 1.9360
O 1.9360 0.0000 1.9360
O 1.9360 1.9360 0.0000
CELL_PARAMETERS angstrom
3.8719 0.0000 0.0000
0.0000 3.8719 0.0000
0.0000 0.0000 3.8719

=====

[2]
! BBr2O PBE relaxed; values from VASP
! Raw formation energy ... 1.053 eV per atom
! Energy above the most stable polymorph in this dataset ... 349 meV per atom
! Electronic total energy ... -2.693 eV/atom
! Total magnetic moment ... 0.00 μB/f.u.
! Space-group type ... R-3m (166)
&SYSTEM
  ibrav = 0, nat = 12, ntyp = 3
/
ATOMIC_SPECIES
B 10.81 B.upf
Br 79.90 Br.upf
O 16.00 O.upf
ATOMIC_POSITIONS angstrom
B 0.0000 0.0000 0.0000
B 0.0000 2.0007 13.8211
B 1.7327 1.0004 6.9105
Br 0.0000 0.0000 8.3552
Br 0.0000 0.0000 12.3764
Br 0.0000 2.0007 1.4446
Br 0.0000 2.0007 5.4659
Br 1.7327 1.0004 15.2657
Br 1.7327 1.0004 19.2870
O 0.0000 0.0000 10.3658
O 0.0000 2.0007 3.4553
O 1.7327 1.0004 17.2763
CELL_PARAMETERS angstrom
3.4653 0.0000 0.0000
-1.7327 3.0011 0.0000
0.0000 0.0000 20.7316